Below is crystalline LaNdAs2Os2O2 at its relaxed geometry, with properties calculated at the PBE level.

Calculated values
Space-group type   No. 99
Density   9.86 Mg/m³
Energy   -8.108 eV/atom
M_tot   0.00 μB/f.u.

```
data_LaNdAs2Os2O2
_chemical_formula_sum 'La1 Nd1 As2 Os2 O2'
_cell_length_a 4.124
_cell_length_b 4.124
_cell_length_c 8.370
_cell_angle_alpha 90.00
_cell_angle_beta 90.00
_cell_angle_gamma 90.00
_symmetry_space_group_name_H-M 'P 1'
_symmetry_Int_Tables_number 1
_symmetry_space_group_name_Hall 'P 1'
loop_
_atom_site_label
_atom_site_type_symbol
_atom_site_fract_x
_atom_site_fract_y
_atom_site_fract_z
_atom_site_occupancy
La1 La 0.000 0.000 0.000 1
Nd1 Nd 0.500 0.500 0.721 1
As1 As 0.000 0.000 0.525 1
As2 As 0.500 0.500 0.204 1
Os1 Os 0.000 0.500 0.365 1
Os2 Os 0.500 0.000 0.365 1
O1 O 0.000 0.500 0.859 1
O2 O 0.500 0.000 0.859 1
```